w.
Computed, not measured: an optimized crystal structure of La3Pm8Pr2 at the PBE level of DFT.

Cell and atoms, written as CIF:
```
data_La3Pm8Pr2
_chemical_formula_sum 'La6 Pm16 Pr4'
_cell_length_a 3.5898
_cell_length_b 12.0253
_cell_length_c 21.4819
_cell_angle_alpha 90.00
_cell_angle_beta 90.00
_cell_angle_gamma 90.00
_space_group_name_H-M_alt 'P 1'
_space_group_IT_number 1
loop_
_space_group_symop_operation_xyz
'x,y,z'
loop_
_atom_site_label
_atom_site_type_symbol
_atom_site_fract_x
_atom_site_fract_y
_atom_site_fract_z
La1 La 0.0000 0.0000 0.0000
La2 La 0.0000 0.5000 0.5000
La3 La 0.0000 0.6400 0.2022
La4 La 0.0000 0.3600 0.7978
La5 La 0.0000 0.1400 0.2978
La6 La 0.0000 0.8600 0.7022
Pm1 Pm 0.0000 0.7121 0.9457
Pm2 Pm 0.0000 0.2879 0.0543
Pm3 Pm 0.0000 0.2121 0.5543
Pm4 Pm 0.0000 0.7879 0.4457
Pm5 Pm 0.0000 0.0570 0.1583
Pm6 Pm 0.0000 0.9430 0.8417
Pm7 Pm 0.0000 0.5569 0.3417
Pm8 Pm 0.0000 0.4431 0.6583
Pm9 Pm 0.5000 0.8658 0.2870
Pm10 Pm 0.5000 0.1342 0.7130
Pm11 Pm 0.5000 0.3658 0.2130
Pm12 Pm 0.5000 0.6342 0.7870
Pm13 Pm 0.5000 0.5422 0.0711
Pm14 Pm 0.5000 0.4578 0.9289
Pm15 Pm 0.5000 0.0422 0.4289
Pm16 Pm 0.5000 0.9578 0.5711
Pr1 Pr 0.5000 0.8200 0.1000
Pr2 Pr 0.5000 0.1800 0.9000
Pr3 Pr 0.5000 0.3200 0.4000
Pr4 Pr 0.5000 0.6800 0.6000
```

Results
volume	927	Å³ per cell
density	6.7	g/cm³
total magnetization	0.00	μB/atom



x.
Computed, not measured: an optimized crystal structure of La3Pm8Pr2 at the PBE level of DFT.

Cell and atoms, written as CIF:
```
data_La3Pm8Pr2
_chemical_formula_sum 'La3 Pm8 Pr2'
_cell_length_a 5.7894
_cell_length_b 7.8013
_cell_length_c 11.1804
_cell_angle_alpha 110.42
_cell_angle_beta 90.07
_cell_angle_gamma 90.00
_space_group_name_H-M_alt 'P 1'
_space_group_IT_number 1
loop_
_space_group_symop_operation_xyz
'x,y,z'
loop_
_atom_site_label
_atom_site_type_symbol
_atom_site_fract_x
_atom_site_fract_y
_atom_site_fract_z
La1 La 0.5000 0.0000 0.0000
La2 La 0.0000 0.2954 0.0000
La3 La 0.0000 0.7046 0.0000
Pm1 Pm 0.0019 0.6709 0.3418
Pm2 Pm 0.9981 0.3291 0.6582
Pm3 Pm 0.9991 0.1338 0.2675
Pm4 Pm 0.0009 0.8662 0.7325
Pm5 Pm 0.4994 0.6019 0.7867
Pm6 Pm 0.4994 0.1848 0.7867
Pm7 Pm 0.5006 0.8152 0.2133
Pm8 Pm 0.5006 0.3981 0.2133
Pr1 Pr 0.4974 0.2418 0.4835
Pr2 Pr 0.5026 0.7582 0.5165
```

Results
volume	473	Å³ per cell
density	6.5	g/cm³
total magnetization	0.00	μB/atom



Stability check: which of them is least stable? x.



w.
Computed, not measured: an optimized crystal structure of La2Pm8Pr at the PBE level of DFT.

Cell and atoms, written as CIF:
```
data_La2Pm8Pr
_chemical_formula_sum 'La2 Pm8 Pr1'
_cell_length_a 5.7293
_cell_length_b 10.4084
_cell_length_c 10.4084
_cell_angle_alpha 40.34
_cell_angle_beta 93.13
_cell_angle_gamma 93.13
_space_group_name_H-M_alt 'P 1'
_space_group_IT_number 1
loop_
_space_group_symop_operation_xyz
'x,y,z'
loop_
_atom_site_label
_atom_site_type_symbol
_atom_site_fract_x
_atom_site_fract_y
_atom_site_fract_z
La1 La 0.7403 0.2841 0.2841
La2 La 0.2597 0.7159 0.7159
Pm1 Pm 0.2663 0.1376 0.6052
Pm2 Pm 0.2663 0.6052 0.1376
Pm3 Pm 0.7337 0.8624 0.3948
Pm4 Pm 0.2383 0.5444 0.5444
Pm5 Pm 0.7337 0.3948 0.8624
Pm6 Pm 0.2299 0.1849 0.1849
Pm7 Pm 0.7701 0.8151 0.8151
Pm8 Pm 0.7617 0.4556 0.4556
Pr1 Pr 0.0000 0.0000 0.0000
```

Results
volume	401	Å³ per cell
density	6.5	g/cm³
total magnetization	0.00	μB/atom



x.
Computed, not measured: an optimized crystal structure of La2Pm8Pr at the PBE level of DFT.

Cell and atoms, written as CIF:
```
data_La2Pm8Pr
_chemical_formula_sum 'La2 Pm8 Pr1'
_cell_length_a 5.2028
_cell_length_b 8.2248
_cell_length_c 9.7160
_cell_angle_alpha 104.72
_cell_angle_beta 105.53
_cell_angle_gamma 90.00
_space_group_name_H-M_alt 'P 1'
_space_group_IT_number 1
loop_
_space_group_symop_operation_xyz
'x,y,z'
loop_
_atom_site_label
_atom_site_type_symbol
_atom_site_fract_x
_atom_site_fract_y
_atom_site_fract_z
La1 La 0.2273 0.6366 0.4545
La2 La 0.7727 0.3634 0.5455
Pm1 Pm 0.5902 0.4550 0.1805
Pm2 Pm 0.3185 0.0927 0.6371
Pm3 Pm 0.1359 0.1790 0.2717
Pm4 Pm 0.0444 0.7267 0.0887
Pm5 Pm 0.8641 0.8210 0.7283
Pm6 Pm 0.6815 0.9073 0.3629
Pm7 Pm 0.4098 0.5450 0.8195
Pm8 Pm 0.9556 0.2733 0.9113
Pr1 Pr 0.5000 0.0000 0.0000
```

Results
volume	386	Å³ per cell
density	6.8	g/cm³
total magnetization	0.00	μB/atom



Stability check: which of them is least stable? w.



w.
Computed, not measured: an optimized crystal structure of LaPmPr5 at the PBE level of DFT.

Cell and atoms, written as CIF:
```
data_LaPmPr5
_chemical_formula_sum 'La1 Pm1 Pr5'
_cell_length_a 5.9272
_cell_length_b 8.1122
_cell_length_c 8.1122
_cell_angle_alpha 67.02
_cell_angle_beta 68.57
_cell_angle_gamma 68.57
_space_group_name_H-M_alt 'P 1'
_space_group_IT_number 1
loop_
_space_group_symop_operation_xyz
'x,y,z'
loop_
_atom_site_label
_atom_site_type_symbol
_atom_site_fract_x
_atom_site_fract_y
_atom_site_fract_z
La1 La 0.0000 0.0000 0.0000
Pm1 Pm 0.5000 0.5000 0.5000
Pr1 Pr 0.5000 0.1805 0.8195
Pr2 Pr 0.5000 0.8195 0.1805
Pr3 Pr 0.7520 0.2480 0.2480
Pr4 Pr 0.2480 0.7520 0.7520
Pr5 Pr 0.0000 0.5000 0.5000
```

Results
volume	323	Å³ per cell
density	5.1	g/cm³
total magnetization	0.03	μB/atom



x.
Computed, not measured: an optimized crystal structure of LaPmPr5 at the PBE level of DFT.

Cell and atoms, written as CIF:
```
data_LaPmPr5
_chemical_formula_sum 'La2 Pm2 Pr10'
_cell_length_a 7.0504
_cell_length_b 7.0504
_cell_length_c 13.9737
_cell_angle_alpha 62.34
_cell_angle_beta 62.34
_cell_angle_gamma 60.06
_space_group_name_H-M_alt 'P 1'
_space_group_IT_number 1
loop_
_space_group_symop_operation_xyz
'x,y,z'
loop_
_atom_site_label
_atom_site_type_symbol
_atom_site_fract_x
_atom_site_fract_y
_atom_site_fract_z
La1 La 0.7163 0.2837 0.7500
La2 La 0.2837 0.7163 0.2500
Pm1 Pm 0.0000 0.0000 0.0000
Pm2 Pm 0.0000 0.0000 0.5000
Pr1 Pr 0.1548 0.4049 0.7488
Pr2 Pr 0.6507 0.6958 0.5009
Pr3 Pr 0.4049 0.1548 0.2488
Pr4 Pr 0.1561 0.8439 0.7500
Pr5 Pr 0.3042 0.3493 0.9991
Pr6 Pr 0.6958 0.6507 0.0009
Pr7 Pr 0.8439 0.1561 0.2500
Pr8 Pr 0.5951 0.8452 0.7512
Pr9 Pr 0.3493 0.3042 0.4991
Pr10 Pr 0.8452 0.5951 0.2512
```

Results
volume	508	Å³ per cell
density	6.5	g/cm³
total magnetization	0.00	μB/atom



Stability check: which of them is least stable? w.



w.
Computed, not measured: an optimized crystal structure of La2Pm7Pr2 at the PBE level of DFT.

Cell and atoms, written as CIF:
```
data_La2Pm7Pr2
_chemical_formula_sum 'La2 Pm7 Pr2'
_cell_length_a 3.6648
_cell_length_b 11.0779
_cell_length_c 11.0779
_cell_angle_alpha 63.55
_cell_angle_beta 80.48
_cell_angle_gamma 80.48
_space_group_name_H-M_alt 'P 1'
_space_group_IT_number 1
loop_
_space_group_symop_operation_xyz
'x,y,z'
loop_
_atom_site_label
_atom_site_type_symbol
_atom_site_fract_x
_atom_site_fract_y
_atom_site_fract_z
La1 La 0.7056 0.8807 0.7082
La2 La 0.2944 0.2918 0.1193
Pm1 Pm 0.8294 0.0126 0.3286
Pm2 Pm 0.8391 0.4848 0.8370
Pm3 Pm 0.5000 0.0507 0.9493
Pm4 Pm 0.6271 0.4589 0.2869
Pm5 Pm 0.3729 0.7131 0.5411
Pm6 Pm 0.1706 0.6714 0.9874
Pm7 Pm 0.1609 0.1630 0.5152
Pr1 Pr 0.0000 0.7585 0.2415
Pr2 Pr 0.5000 0.3685 0.6315
```

Results
volume	395	Å³ per cell
density	6.6	g/cm³
total magnetization	0.00	μB/atom



x.
Computed, not measured: an optimized crystal structure of La2Pm7Pr2 at the PBE level of DFT.

Cell and atoms, written as CIF:
```
data_La2Pm7Pr2
_chemical_formula_sum 'La2 Pm7 Pr2'
_cell_length_a 8.9126
_cell_length_b 6.2283
_cell_length_c 8.9126
_cell_angle_alpha 63.50
_cell_angle_beta 96.59
_cell_angle_gamma 116.50
_space_group_name_H-M_alt 'P 1'
_space_group_IT_number 1
loop_
_space_group_symop_operation_xyz
'x,y,z'
loop_
_atom_site_label
_atom_site_type_symbol
_atom_site_fract_x
_atom_site_fract_y
_atom_site_fract_z
La1 La 0.2333 0.8803 0.7667
La2 La 0.7667 0.1197 0.2333
Pm1 Pm 0.4111 0.1777 0.0639
Pm2 Pm 0.0639 0.8223 0.4111
Pm3 Pm 0.5889 0.8223 0.9361
Pm4 Pm 0.9361 0.1777 0.5889
Pm5 Pm 0.5880 0.3699 0.4120
Pm6 Pm 0.0000 0.0000 0.0000
Pm7 Pm 0.4120 0.6301 0.5880
Pr1 Pr 0.7808 0.5000 0.7808
Pr2 Pr 0.2192 0.5000 0.2192
```

Results
volume	394	Å³ per cell
density	6.6	g/cm³
total magnetization	0.00	μB/atom



Stability check: which of them is least stable? w.



w.
Computed, not measured: an optimized crystal structure of LaPm4Pr3 at the PBE level of DFT.

Cell and atoms, written as CIF:
```
data_LaPm4Pr3
_chemical_formula_sum 'La2 Pm8 Pr6'
_cell_length_a 7.3626
_cell_length_b 7.3654
_cell_length_c 10.4607
_cell_angle_alpha 90.00
_cell_angle_beta 90.00
_cell_angle_gamma 90.00
_space_group_name_H-M_alt 'P 1'
_space_group_IT_number 1
loop_
_space_group_symop_operation_xyz
'x,y,z'
loop_
_atom_site_label
_atom_site_type_symbol
_atom_site_fract_x
_atom_site_fract_y
_atom_site_fract_z
Pr1 Pr 0.0002 0.3106 0.0000
Pr2 Pr 0.2497 0.0606 0.7499
Pr3 Pr 0.7503 0.5606 0.7501
Pr4 Pr 0.9998 0.8106 0.5000
Pr5 Pr 0.7503 0.5606 0.2499
Pr6 Pr 0.2497 0.0606 0.2501
Pm1 Pm 0.0000 0.8107 0.0000
Pm2 Pm 0.5000 0.3105 0.0000
Pm3 Pm 0.7505 0.0606 0.7500
Pm4 Pm 0.2495 0.5606 0.7500
Pm5 Pm 0.5000 0.8105 0.5000
Pm6 Pm 0.0000 0.3107 0.5000
Pm7 Pm 0.2495 0.5606 0.2500
Pm8 Pm 0.7505 0.0606 0.2500
La1 La 0.4999 0.8106 0.0000
La2 La 0.5001 0.3106 0.5000
```

Results
volume	567	Å³ per cell
density	6.7	g/cm³
total magnetization	0.00	μB/atom



x.
Computed, not measured: an optimized crystal structure of LaPm4Pr3 at the PBE level of DFT.

Cell and atoms, written as CIF:
```
data_LaPm4Pr3
_chemical_formula_sum 'La2 Pm8 Pr6'
_cell_length_a 6.4350
_cell_length_b 7.4395
_cell_length_c 11.9674
_cell_angle_alpha 90.00
_cell_angle_beta 90.00
_cell_angle_gamma 90.00
_space_group_name_H-M_alt 'P 1'
_space_group_IT_number 1
loop_
_space_group_symop_operation_xyz
'x,y,z'
loop_
_atom_site_label
_atom_site_type_symbol
_atom_site_fract_x
_atom_site_fract_y
_atom_site_fract_z
La1 La 0.9812 0.3743 0.0000
La2 La 0.4812 0.6257 0.5000
Pm1 Pm 0.9806 0.8766 0.0000
Pm2 Pm 0.4798 0.1228 0.0000
Pm3 Pm 0.1489 0.1235 0.2505
Pm4 Pm 0.6489 0.8765 0.2495
Pm5 Pm 0.9798 0.8772 0.5000
Pm6 Pm 0.4806 0.1234 0.5000
Pm7 Pm 0.6489 0.8765 0.7505
Pm8 Pm 0.1489 0.1235 0.7495
Pr1 Pr 0.4803 0.6268 0.0000
Pr2 Pr 0.1478 0.6270 0.2503
Pr3 Pr 0.6478 0.3730 0.2497
Pr4 Pr 0.9803 0.3732 0.5000
Pr5 Pr 0.6478 0.3730 0.7503
Pr6 Pr 0.1478 0.6270 0.7497
```

Results
volume	573	Å³ per cell
density	6.6	g/cm³
total magnetization	0.00	μB/atom



Stability check: which of them is least stable? x.



w.
Computed, not measured: an optimized crystal structure of LaPm3Pr5 at the PBE level of DFT.

Cell and atoms, written as CIF:
```
data_LaPm3Pr5
_chemical_formula_sum 'La2 Pm6 Pr10'
_cell_length_a 6.6252
_cell_length_b 12.1446
_cell_length_c 11.5277
_cell_angle_alpha 129.73
_cell_angle_beta 90.00
_cell_angle_gamma 105.83
_space_group_name_H-M_alt 'P 1'
_space_group_IT_number 1
loop_
_space_group_symop_operation_xyz
'x,y,z'
loop_
_atom_site_label
_atom_site_type_symbol
_atom_site_fract_x
_atom_site_fract_y
_atom_site_fract_z
La1 La 0.8660 0.0000 0.7500
La2 La 0.1340 0.0000 0.2500
Pm1 Pm 0.0000 0.0000 0.0000
Pm2 Pm 0.4627 0.3223 0.3074
Pm3 Pm 0.0000 0.0000 0.5000
Pm4 Pm 0.5373 0.6777 0.6926
Pm5 Pm 0.8596 0.3223 0.8074
Pm6 Pm 0.1404 0.6777 0.1926
Pr1 Pr 0.4046 0.0000 0.7500
Pr2 Pr 0.6514 0.6620 0.0285
Pr3 Pr 0.8654 0.3372 0.1266
Pr4 Pr 0.3486 0.3380 0.9715
Pr5 Pr 0.5282 0.6628 0.3734
Pr6 Pr 0.5954 0.0000 0.2500
Pr7 Pr 0.0106 0.6620 0.5285
Pr8 Pr 0.9894 0.3380 0.4715
Pr9 Pr 0.4718 0.3372 0.6266
Pr10 Pr 0.1346 0.6628 0.8734
```

Results
volume	667	Å³ per cell
density	6.4	g/cm³
total magnetization	0.00	μB/atom



x.
Computed, not measured: an optimized crystal structure of LaPm3Pr5 at the PBE level of DFT.

Cell and atoms, written as CIF:
```
data_LaPm3Pr5
_chemical_formula_sum 'La2 Pm6 Pr10'
_cell_length_a 9.1262
_cell_length_b 9.1262
_cell_length_c 12.1553
_cell_angle_alpha 60.95
_cell_angle_beta 60.95
_cell_angle_gamma 56.12
_space_group_name_H-M_alt 'P 1'
_space_group_IT_number 1
loop_
_space_group_symop_operation_xyz
'x,y,z'
loop_
_atom_site_label
_atom_site_type_symbol
_atom_site_fract_x
_atom_site_fract_y
_atom_site_fract_z
La1 La 0.1059 0.1059 0.6865
La2 La 0.8941 0.8941 0.3135
Pm1 Pm 0.6880 0.6880 0.6730
Pm2 Pm 0.7771 0.7771 0.1426
Pm3 Pm 0.0000 0.0000 0.0000
Pm4 Pm 0.0000 0.0000 0.5000
Pm5 Pm 0.3120 0.3120 0.3270
Pm6 Pm 0.2229 0.2229 0.8574
Pr1 Pr 0.8339 0.4486 0.4405
Pr2 Pr 0.3237 0.6763 0.0000
Pr3 Pr 0.8006 0.8006 0.8503
Pr4 Pr 0.5461 0.5461 0.2450
Pr5 Pr 0.4539 0.4539 0.7550
Pr6 Pr 0.1994 0.1994 0.1497
Pr7 Pr 0.4486 0.8339 0.4405
Pr8 Pr 0.6763 0.3237 0.0000
Pr9 Pr 0.1661 0.5514 0.5595
Pr10 Pr 0.5514 0.1661 0.5595
```

Results
volume	702	Å³ per cell
density	6.0	g/cm³
total magnetization	0.00	μB/atom



Stability check: which of them is least stable? x.